Record 1
## Fe2AsPb (PBE)

Data for Fe2AsPb after structural relaxation.

Summary:
space-group type = Pm-3m
total magnetization = 17.64 μB/cell

Lattice parameters (Å, degrees): 6.4658 6.4658 6.4658 90.00 90.00 90.00
With the nearest neighbours (Å) after each atom.
Sites, in units of the cell vectors:
Fe 0.7096 0.2904 0.2904  1 As 2.35
Fe 0.7096 0.7096 0.7096  1 As 2.35
Fe 0.7096 0.7096 0.2904  1 As 2.35
Fe 0.2904 0.7096 0.7096  1 As 2.35
Fe 0.7096 0.2904 0.7096  1 As 2.35
Fe 0.2904 0.2904 0.2904  1 As 2.35
Fe 0.2904 0.7096 0.2904  1 As 2.35
Fe 0.2904 0.2904 0.7096  1 As 2.35
As 0.0000 0.5000 0.5000  8 Fe 2.68
As 0.5000 0.5000 0.0000  8 Fe 2.68
As 0.5000 0.0000 0.5000  8 Fe 2.68
As 0.5000 0.5000 0.5000  8 Fe 2.35
Pb 0.0000 0.0000 0.0000  6 Pb 3.23, 8 Fe 3.25
Pb 0.5000 0.0000 0.0000  8 Fe 2.98, 4 As 3.23, 2 Pb 3.23
Pb 0.0000 0.0000 0.5000  8 Fe 2.98, 4 As 3.23, 2 Pb 3.23
Pb 0.0000 0.5000 0.0000  8 Fe 2.98, 4 As 3.23, 2 Pb 3.23



Record 2
## Nd2AgPd (PBE)

Data for Nd2AgPd after structural relaxation.

Summary:
energy of formation from the pure elements = -0.53 eV/atom
space-group type = Amm2
total magnetization = 0.01 μB/cell

Lattice parameters (Å, degrees): 4.7556 5.8458 5.8458 39.06 90.00 90.00
With the nearest neighbours (Å) after each atom.
Sites, in units of the cell vectors:
Pd 0.5000 0.0823 0.0823  2 Ag 2.98, 7 Nd 3.06-3.14
Nd 0.5000 0.3600 0.3600  3 Pd 3.06-3.13, 4 Ag 3.15
Nd 0.0000 0.6386 0.6386  3 Ag 3.09-3.11, 4 Pd 3.14
Ag 0.0000 0.9191 0.9191  2 Pd 2.98, 7 Nd 3.09-3.15



Record 3
## InMo2N (PBE)

Data for InMo2N after structural relaxation.

Summary:
space-group type = C2/c
total magnetization = 0.00 μB/cell

Lattice parameters (Å, degrees): 5.6272 5.6272 13.8354 101.99 101.99 57.72
With the nearest neighbours (Å) after each atom.
Sites, in units of the cell vectors:
Mo 0.4721 0.6459 0.9239  3 N 2.11-2.12
Mo 0.1945 0.0217 0.0763  3 N 2.08-2.15
Mo 0.9783 0.8055 0.4237  3 N 2.08-2.15
Mo 0.1355 0.3104 0.9237  3 N 2.10-2.14
Mo 0.5279 0.3541 0.0761  3 N 2.11-2.12
Mo 0.3541 0.5279 0.5761  3 N 2.11-2.12
Mo 0.8055 0.9783 0.9237  3 N 2.08-2.15
Mo 0.6896 0.8645 0.5763  3 N 2.10-2.14
Mo 0.3104 0.1355 0.4237  3 N 2.10-2.14
Mo 0.6459 0.4721 0.4239  3 N 2.11-2.12
Mo 0.8645 0.6896 0.0763  3 N 2.10-2.14
Mo 0.0217 0.1945 0.5763  3 N 2.08-2.15
In 0.7435 0.5894 0.7499  6 Mo 2.96-3.00, 6 In 3.17-3.29
In 0.9227 0.0773 0.2500  6 Mo 2.96-2.99, 6 In 3.17-3.29
In 0.5894 0.7435 0.2499  6 Mo 2.96-3.00, 6 In 3.17-3.29
In 0.4106 0.2565 0.7501  6 Mo 2.96-3.00, 6 In 3.17-3.29
In 0.0773 0.9227 0.7500  6 Mo 2.96-2.99, 6 In 3.17-3.29
In 0.2565 0.4106 0.2501  6 Mo 2.96-3.00, 6 In 3.17-3.29
N 0.5000 0.0000 0.0000  6 Mo 2.10-2.14
N 0.6639 0.1672 0.4965  6 Mo 2.08-2.15
N 0.1672 0.6639 0.9965  6 Mo 2.08-2.15
N 0.8328 0.3361 0.0035  6 Mo 2.08-2.15
N 0.0000 0.5000 0.5000  6 Mo 2.10-2.14
N 0.3361 0.8328 0.5035  6 Mo 2.08-2.15



Record 4
## TmTaN2O (PBE)

Data for TmTaN2O after structural relaxation.

Summary:
space-group type = P2_1/c
total magnetization = 0.00 μB/cell

Lattice parameters (Å, degrees): 7.8621 7.8553 11.0999 90.00 134.76 90.00
With the nearest neighbours (Å) after each atom.
Sites, in units of the cell vectors:
Ta 0.7688 0.2599 0.2702  4 N 1.97-2.05, 2 O 2.16-2.18
Ta 0.7688 0.2401 0.7702  4 N 1.97-2.05, 2 O 2.16-2.18
Ta 0.2312 0.7401 0.7298  4 N 1.97-2.05, 2 O 2.16-2.18
Ta 0.2202 0.2529 0.7394  4 N 1.98-2.06, 2 O 2.11-2.20
Ta 0.2202 0.2471 0.2394  4 N 1.98-2.06, 2 O 2.11-2.20
Ta 0.7798 0.7529 0.7606  4 N 1.98-2.06, 2 O 2.11-2.20
Ta 0.2312 0.7599 0.2298  4 N 1.97-2.05, 2 O 2.16-2.18
Ta 0.7798 0.7471 0.2606  4 N 1.98-2.06, 2 O 2.11-2.20
N 0.0881 0.7950 0.9966  2 Ta 1.98-1.99
N 0.2292 0.5038 0.2056  2 Ta 2.03-2.06
N 0.7708 0.4962 0.7944  2 Ta 2.03-2.06
N 0.0681 0.2666 0.3264  2 Ta 1.97-2.00
N 0.6638 0.9938 0.6850  2 Ta 2.01-2.05
N 0.9119 0.2050 0.0034  2 Ta 1.98-1.99
N 0.3362 0.4938 0.8150  2 Ta 2.01-2.05
N 0.0681 0.2334 0.8264  2 Ta 1.97-2.00
N 0.3362 0.0062 0.3150  2 Ta 2.01-2.05
N 0.7708 0.0038 0.2944  2 Ta 2.03-2.06
N 0.9319 0.7334 0.6736  2 Ta 1.97-2.00
N 0.0881 0.7050 0.4966  2 Ta 1.98-1.99
N 0.6638 0.5062 0.1850  2 Ta 2.01-2.05
N 0.9319 0.7666 0.1736  2 Ta 1.97-2.00
N 0.9119 0.2950 0.5034  2 Ta 1.98-1.99
N 0.2292 0.9962 0.7056  2 Ta 2.03-2.06
O 0.4562 0.8104 0.9947  2 Tm 2.18-2.43, 2 Ta 2.18-2.20
O 0.4181 0.2541 0.1763  2 Ta 2.11-2.16, 2 Tm 2.21-2.31
O 0.5819 0.7541 0.3237  2 Ta 2.11-2.16, 2 Tm 2.21-2.31
O 0.5438 0.3104 0.5053  2 Tm 2.18-2.43, 2 Ta 2.18-2.20
O 0.5819 0.7459 0.8237  2 Ta 2.11-2.16, 2 Tm 2.21-2.31
O 0.4562 0.6896 0.4947  2 Tm 2.18-2.43, 2 Ta 2.18-2.20
O 0.5438 0.1896 0.0053  2 Tm 2.18-2.43, 2 Ta 2.18-2.20
O 0.4181 0.2459 0.6763  2 Ta 2.11-2.16, 2 Tm 2.21-2.31
Tm 0.7473 0.5091 0.9981  4 N 2.31-2.58, 1 O 2.31
Tm 0.3100 0.4809 0.5282  3 O 2.18-2.43, 2 N 2.32-2.34
Tm 0.7473 0.9909 0.4981  4 N 2.31-2.58, 1 O 2.31
Tm 0.3100 0.0191 0.0282  3 O 2.18-2.43, 2 N 2.32-2.34
Tm 0.2527 0.4909 0.0019  4 N 2.31-2.58, 1 O 2.31
Tm 0.6900 0.5191 0.4718  3 O 2.18-2.43, 2 N 2.32-2.34
Tm 0.2527 0.0091 0.5019  4 N 2.31-2.58, 1 O 2.31
Tm 0.6900 0.9809 0.9718  3 O 2.18-2.43, 2 N 2.32-2.34



Record 5
## K2LiNbO4 (PBE)

Data for K2LiNbO4 after structural relaxation.

Summary:
space-group type = C2/m
total magnetization = 0.02 μB/cell

Lattice parameters (Å, degrees): 5.7923 5.7923 7.6745 90.72 90.72 86.28
With the nearest neighbours (Å) after each atom.
Sites, in units of the cell vectors:
Nb 0.7128 0.7128 0.7487  4 O 1.87-1.88
Nb 0.2872 0.2872 0.2513  4 O 1.87-1.88
O 0.7998 0.4164 0.8296  1 Nb 1.87, 1 Li 1.93
O 0.7185 0.7185 0.5045  1 Nb 1.88
O 0.2815 0.2815 0.4955  1 Nb 1.88
O 0.0796 0.0796 0.1649  1 Nb 1.87, 2 Li 1.98
O 0.9204 0.9204 0.8351  1 Nb 1.87, 2 Li 1.98
O 0.5836 0.2002 0.1704  1 Nb 1.87, 1 Li 1.93
O 0.4164 0.7998 0.8296  1 Nb 1.87, 1 Li 1.93
O 0.2002 0.5836 0.1704  1 Nb 1.87, 1 Li 1.93
Li 0.1730 0.8270 0.0000  4 O 1.93-1.98
Li 0.8270 0.1730 0.0000  4 O 1.93-1.98
K 0.2109 0.7891 0.5000  6 O 2.78-2.94
K 0.2888 0.2888 0.8277  1 O 2.55
K 0.7891 0.2109 0.5000  6 O 2.78-2.94
K 0.7112 0.7112 0.1723  1 O 2.55



Record 6
## Dy2Tm3Ga3 (PBE)

Data for Dy2Tm3Ga3 after structural relaxation.

Summary:
polymorph energy (0 for the lowest one) = 143.1 meV per atom
space-group type = Amm2
total magnetization = 0.03 μB/cell

Lattice parameters (Å, degrees): 5.4199 6.2685 6.2685 69.78 90.00 90.00
With the nearest neighbours (Å) after each atom.
Sites, in units of the cell vectors:
Dy 0.0000 0.2741 0.2741  4 Ga 2.94-3.12
Dy 0.5000 0.6806 0.6806  6 Tm 3.10-3.35, 4 Ga 3.20
Tm 0.5000 0.6837 0.1857  4 Ga 2.96-3.31, 2 Dy 3.10-3.17, 2 Tm 3.32
Tm 0.0000 0.8717 0.8717  4 Ga 3.08-3.35, 4 Tm 3.32, 2 Dy 3.35
Tm 0.5000 0.1857 0.6837  4 Ga 2.96-3.31, 2 Dy 3.10-3.17, 2 Tm 3.32
Ga 0.5000 0.1635 0.1635  2 Dy 2.94, 2 Tm 2.96
Ga 0.0000 0.3923 0.7485  1 Ga 2.55
Ga 0.0000 0.7485 0.3923  1 Ga 2.55



Record 7
## TlAg3Te4Pb (PBE)

Data for TlAg3Te4Pb after structural relaxation.

Summary:
space-group type = P-43m

Lattice parameters (Å, degrees): 6.7689 6.7689 6.7689 90.00 90.00 90.00
With the nearest neighbours (Å) after each atom.
Sites, in units of the cell vectors:
Ag 0.0000 0.0000 0.5000  4 Te 2.94
Ag 0.0000 0.5000 0.0000  4 Te 2.94
Ag 0.5000 0.0000 0.0000  4 Te 2.94
Te 0.7470 0.2530 0.2530  1 Tl 2.90, 3 Ag 2.94, 1 Pb 2.97
Te 0.2530 0.2530 0.7470  1 Tl 2.90, 3 Ag 2.94, 1 Pb 2.97
Te 0.2530 0.7470 0.2530  1 Tl 2.90, 3 Ag 2.94, 1 Pb 2.97
Te 0.7470 0.7470 0.7470  1 Tl 2.90, 3 Ag 2.94, 1 Pb 2.97
Tl 0.5000 0.5000 0.5000  4 Te 2.90
Pb 0.0000 0.0000 0.0000  4 Te 2.97



Record 8
## NbCoPbAu (PBE)

Data for NbCoPbAu after structural relaxation.

Summary:
polymorph energy (0 for the lowest one) = 0.0 meV per atom
space-group type = F-43m
total magnetization = 0.05 μB/cell

Lattice parameters (Å, degrees): 4.6363 4.6363 4.6363 60.00 60.00 60.00
With the nearest neighbours (Å) after each atom.
Sites, in units of the cell vectors:
Au 0.5000 0.5000 0.5000  4 Co 2.84, 4 Nb 2.84
Nb 0.2500 0.2500 0.2500  4 Au 2.84, 4 Pb 2.84
Co 0.7500 0.7500 0.7500  4 Au 2.84, 4 Pb 2.84
Pb 0.0000 0.0000 0.0000  4 Co 2.84, 4 Nb 2.84



| no. | electronic total energy (eV per atom) |
| --- | --- |
| 1 | -5.889 |
| 2 | -4.908 |
| 3 | -8.188 |
| 4 | -9.520 |
| 5 | -6.465 |
| 6 | -4.211 |
| 7 | -3.058 |
| 8 | -5.644 |